# 1
Here is an optimized crystal structure of AcSm6Dy2Ho from the Alexandria database. Energies are from PBE.

**M_tot**: 0.000 μB per atom
**ΔH_f (0 K)**: 0.124 eV per atom
**DFT total energy**: -4.497 eV/atom

a = 9.3298 Å, b = 15.4285 Å, c = 9.6588 Å
α = 90.00°, β = 95.53°, γ = 90.00°
Space group C2/c (No. 15)
One atom of each set of equivalent atoms:
1 Ac 0.0000 0.0272 0.2500 (multiplicity 4)
2 Sm 0.0599 0.1872 0.9449 (multiplicity 8)
3 Sm 0.1015 0.3902 0.1174 (multiplicity 8)
4 Sm 0.2160 0.2270 0.3158 (multiplicity 8)
5 Dy 0.2397 0.4438 0.4524 (multiplicity 8)
6 Ho 0.0000 0.4126 0.7500 (multiplicity 4)

# 2
Here is an optimized crystal structure of SiTc4Mo from the Alexandria database. Energies are from PBE.

**M_tot**: 0.000 μB per atom
**DFT total energy**: -9.266 eV/atom
**Formation energy (no corrections)**: 0.354 eV per atom

a = 7.1709 Å, b = 7.1709 Å, c = 7.1709 Å
α = 90.00°, β = 90.00°, γ = 90.00°
Space group F-43m (No. 216)
One atom of each set of equivalent atoms:
1 Si 0.0000 0.0000 0.0000 (multiplicity 4)
2 Tc 0.1262 0.1262 0.6262 (multiplicity 16)
3 Mo 0.2500 0.2500 0.2500 (multiplicity 4)